# 1
Compound: Ho5Cd2Ir2Ru
Source: Alexandria via LeMat-Bulk
Functional: PBE-GGA
Structure: relaxed

Properties
E_form (meV per atom): -489
SG: P4/mbm
E_tot (eV per atom): -5.6607
Size of the total moment (Bohr magnetons per cell): 0.0

Unit cell a=3.568 b=11.522 c=11.522 alpha=90.00 beta=90.00 gamma=90.00
Fractional positions:
Ho  0.500  0.568  0.695
Ho  0.500  0.695  0.432
Ho  0.500  0.195  0.068
Ho  0.500  0.805  0.932
Ho  0.500  0.500  0.000
Ho  0.500  0.932  0.195
Ho  0.500  0.305  0.568
Ho  0.500  0.000  0.500
Ho  0.500  0.068  0.805
Ho  0.500  0.432  0.305
Ir  0.000  0.633  0.867
Ir  0.000  0.367  0.133
Ir  0.000  0.133  0.633
Ir  0.000  0.867  0.367
Ru  0.000  0.000  0.000
Ru  0.000  0.500  0.500
Cd  0.000  0.821  0.679
Cd  0.000  0.679  0.179
Cd  0.000  0.179  0.321
Cd  0.000  0.321  0.821

# 2
Compound: Ho5Cd2IrRu2
Source: Alexandria via LeMat-Bulk
Functional: PBE-GGA
Structure: relaxed

Properties
E_form (meV per atom): -371
SG: P4/mbm
E_tot (eV per atom): -5.5844
Size of the total moment (Bohr magnetons per cell): 0.0

Unit cell a=3.489 b=11.571 c=11.571 alpha=90.00 beta=90.00 gamma=90.00
Fractional positions:
Ho  0.500  0.933  0.195
Ho  0.500  0.805  0.933
Ho  0.500  0.195  0.067
Ho  0.500  0.500  0.000
Ho  0.500  0.433  0.305
Ho  0.500  0.305  0.567
Ho  0.500  0.067  0.805
Ho  0.500  0.000  0.500
Ho  0.500  0.695  0.433
Ho  0.500  0.567  0.695
Ru  0.000  0.367  0.133
Ru  0.000  0.133  0.633
Ru  0.000  0.633  0.867
Ru  0.000  0.867  0.367
Cd  0.000  0.820  0.680
Cd  0.000  0.180  0.320
Cd  0.000  0.680  0.180
Cd  0.000  0.320  0.820
Ir  0.000  0.500  0.500
Ir  0.000  0.000  0.000

# 3
Compound: HoScCdIr
Source: Alexandria via LeMat-Bulk
Functional: PBE-GGA
Structure: relaxed

Properties
E_form (meV per atom): -562
SG: F-43m
E_tot (eV per atom): -5.7336
Size of the total moment (Bohr magnetons per cell): 0.0

Unit cell a=4.891 b=4.891 c=4.891 alpha=60.00 beta=60.00 gamma=60.00
Fractional positions:
Cd  0.750  0.750  0.750
Ho  0.000  0.000  0.000
Sc  0.500  0.500  0.500
Ir  0.250  0.250  0.250

# 4
Compound: SmHoCdIr
Source: Alexandria via LeMat-Bulk
Functional: PBE-GGA
Structure: relaxed

Properties
E_form (meV per atom): -511
SG: F-43m
E_tot (eV per atom): -5.2797
Size of the total moment (Bohr magnetons per cell): 0.0

Unit cell a=5.080 b=5.080 c=5.080 alpha=60.00 beta=60.00 gamma=60.00
Fractional positions:
Cd  0.750  0.750  0.750
Ho  0.000  0.000  0.000
Sm  0.500  0.500  0.500
Ir  0.250  0.250  0.250

# 5
Compound: TbHoCdIr
Source: Alexandria via LeMat-Bulk
Functional: PBE-GGA
Structure: relaxed

Properties
E_form (meV per atom): -553
SG: F-43m
E_tot (eV per atom): -5.2988
Size of the total moment (Bohr magnetons per cell): 0.0

Unit cell a=5.035 b=5.035 c=5.035 alpha=60.00 beta=60.00 gamma=60.00
Fractional positions:
Ir  0.250  0.250  0.250
Tb  0.500  0.500  0.500
Ho  0.000  0.000  0.000
Cd  0.750  0.750  0.750

# 6
Compound: HoZnCdIr
Source: Alexandria via LeMat-Bulk
Functional: PBE-GGA
Structure: relaxed

Properties
E_form (meV per atom): -294
SG: F-43m
E_tot (eV per atom): -4.2005
Size of the total moment (Bohr magnetons per cell): 0.0

Unit cell a=4.768 b=4.768 c=4.768 alpha=60.00 beta=60.00 gamma=60.00
Fractional positions:
Zn  0.500  0.500  0.500
Cd  0.250  0.250  0.250
Ir  0.000  0.000  0.000
Ho  0.750  0.750  0.750

# 7
Compound: HoZrCdIr
Source: Alexandria via LeMat-Bulk
Functional: PBE-GGA
Structure: relaxed

Properties
E_form (meV per atom): -413
SG: F-43m
E_tot (eV per atom): -6.1381
Size of the total moment (Bohr magnetons per cell): 0.0

Unit cell a=4.911 b=4.911 c=4.911 alpha=60.00 beta=60.00 gamma=60.00
Fractional positions:
Cd  0.750  0.750  0.750
Ho  0.500  0.500  0.500
Ir  0.250  0.250  0.250
Zr  0.000  0.000  0.000

# 8
Compound: KHoCd2
Source: Alexandria via LeMat-Bulk
Functional: PBE-GGA
Structure: relaxed

Properties
E_form (meV per atom): -103
SG: P4/mmm
E_tot (eV per atom): -1.9791
Size of the total moment (Bohr magnetons per cell): 0.0
Polymorph energy (0 for the lowest one) (meV/atom): 0

Unit cell a=3.815 b=3.815 c=8.515 alpha=90.00 beta=90.00 gamma=90.00
Fractional positions:
Cd  0.000  0.000  0.799
Cd  0.000  0.000  0.201
K  0.500  0.500  0.500
Ho  0.500  0.500  0.000

# 9
Compound: KHoCd4
Source: Alexandria via LeMat-Bulk
Functional: PBE-GGA
Structure: relaxed

Properties
E_form (meV per atom): -47
SG: F-43m
E_tot (eV per atom): -1.6026
Size of the total moment (Bohr magnetons per cell): 0.0

Unit cell a=6.068 b=6.068 c=6.068 alpha=60.00 beta=60.00 gamma=60.00
Fractional positions:
K  0.250  0.250  0.250
Cd  0.625  0.124  0.625
Cd  0.625  0.625  0.124
Cd  0.625  0.625  0.625
Cd  0.124  0.625  0.625
Ho  0.000  0.000  0.000

# 10
Compound: KHoCdO3
Source: Alexandria via LeMat-Bulk
Functional: PBE-GGA
Structure: relaxed

Properties
SG: P2_1/m
E_tot (eV per atom): -5.7276
Size of the total moment (Bohr magnetons per cell): 0.0
ΔE_f (raw) (eV per atom): -2.15

Unit cell a=3.420 b=8.371 c=6.609 alpha=88.61 beta=90.00 gamma=90.00
Fractional positions:
Cd  0.750  0.993  0.227
Cd  0.250  0.007  0.773
O  0.750  0.162  0.666
O  0.250  0.172  0.087
O  0.750  0.828  0.913
O  0.250  0.838  0.334
O  0.750  0.521  0.182
O  0.250  0.479  0.818
K  0.750  0.672  0.564
K  0.250  0.328  0.436
Ho  0.750  0.329  0.935
Ho  0.250  0.671  0.065

Among the records above, which one has the lowest E_tot? HoZrCdIr